Below is an optimized crystal structure of PmV4Cu3O12, with properties calculated at the PBE with a Hubbard U level.

For the total magnetization, the calculation gives 1.912 μB per formula unit. Its crystal system is cubic. The uncorrected energy comes out at -141.266 eV per formula unit. Its space-group type is No. 204.

Lattice parameters (Å, degrees): 6.4393 6.4393 6.4393 109.47 109.47 109.47
Last column: nearest neighbours and their distance in Å.
Sites, in units of the cell vectors:
Pm 0.0000 0.0000 0.0000  12 O 2.58
V 0.0000 0.0000 0.5000  6 O 1.96
V 0.0000 0.5000 0.0000  6 O 1.96
V 0.5000 0.0000 0.0000  6 O 1.96
V 0.5000 0.5000 0.5000  6 O 1.96
Cu 0.0000 0.5000 0.5000  4 O 2.01
Cu 0.5000 0.0000 0.5000  4 O 2.01
Cu 0.5000 0.5000 0.0000  4 O 2.01
O 0.1186 0.8210 0.2976  2 V 1.96, 1 Cu 2.01
O 0.1790 0.2976 0.4766  2 V 1.96, 1 Cu 2.01
O 0.1790 0.7024 0.8814  2 V 1.96, 1 Cu 2.01
O 0.2976 0.1186 0.8210  2 V 1.96, 1 Cu 2.01
O 0.2976 0.4766 0.1790  2 V 1.96, 1 Cu 2.01
O 0.4766 0.1790 0.2976  2 V 1.96, 1 Cu 2.01
O 0.5234 0.8210 0.7024  2 V 1.96, 1 Cu 2.01
O 0.7024 0.5234 0.8210  2 V 1.96, 1 Cu 2.01
O 0.7024 0.8814 0.1790  2 V 1.96, 1 Cu 2.01
O 0.8210 0.2976 0.1186  2 V 1.96, 1 Cu 2.01
O 0.8210 0.7024 0.5234  2 V 1.96, 1 Cu 2.01
O 0.8814 0.1790 0.7024  2 V 1.96, 1 Cu 2.01